Record 1
5
Lattice="1.798 1.038 14.612 -1.798 1.038 14.612 0.000 -2.076 14.612" Properties=species:S:1:pos:R:3 comment="Tb2NdTh2 | the Alexandria database | GGA-PBE | optimized geometry" n_ef_per_ev_cell=6.69 ef_mev_per_atom=15 de_polymorph_mev_per_atom=0 vol_a3_per_atom=32.72 pbc="T T T"
Tb 0.000 0.000 4.310
Tb 0.000 0.000 39.525
Nd 0.000 0.000 21.918
Th 0.000 0.000 13.196
Th 0.000 0.000 30.640

Record 2
9
Lattice="-5.417 5.417 2.570 5.417 -5.417 2.570 5.417 5.417 -2.570" Properties=species:S:1:pos:R:3 comment="Tb4Nd4Th | the Alexandria database | GGA-PBE | optimized geometry" n_ef_per_ev_cell=12.81 ef_mev_per_atom=35 vol_a3_per_atom=33.53 pbc="T T T"
Tb 3.604 0.000 0.000
Tb 7.231 0.000 0.000
Tb 0.000 3.604 0.000
Tb 0.000 7.231 0.000
Nd 3.647 3.647 0.000
Nd 1.771 -1.771 2.570
Nd -1.771 1.771 2.570
Nd 1.771 1.771 2.570
Th 0.000 0.000 0.000

Record 3
9
Lattice="3.583 0.000 0.000 -1.791 3.103 0.000 0.000 0.000 27.033" Properties=species:S:1:pos:R:3 comment="Tb4Nd3Th2 | the Alexandria database | GGA-PBE | optimized geometry" n_ef_per_ev_cell=15.79 ef_mev_per_atom=85 de_polymorph_mev_per_atom=69 vol_a3_per_atom=33.39 pbc="T T T"
Tb 0.000 0.000 0.000
Tb 0.000 0.000 5.924
Tb 0.000 2.069 8.759
Tb 0.000 2.069 14.746
Nd 0.000 0.000 11.738
Nd 0.000 2.069 2.876
Nd 0.000 2.069 20.656
Th 0.000 0.000 17.623
Th 0.000 0.000 23.678

Record 4
11
Lattice="7.098 0.000 0.000 -3.549 6.147 0.000 0.000 0.000 8.607" Properties=species:S:1:pos:R:3 comment="Tb7NdTh3 | the Alexandria database | GGA-PBE | optimized geometry" n_ef_per_ev_cell=15.44 ef_mev_per_atom=216 de_polymorph_mev_per_atom=63 vol_a3_per_atom=34.14 pbc="T T T"
Tb 0.000 0.000 0.000
Tb 0.000 2.029 2.945
Tb -1.792 5.132 2.945
Tb 3.549 0.013 0.013
Tb 1.785 3.067 0.013
Tb 1.792 5.132 2.945
Tb 5.313 3.067 0.013
Nd 3.549 2.049 2.977
Th 1.765 1.019 5.796
Th 5.333 1.019 5.796
Th 3.549 4.109 5.796

Record 5
11
Lattice="-1.761 5.223 10.253 1.761 -5.223 10.253 1.761 5.223 -10.253" Properties=species:S:1:pos:R:3 comment="Tb3Nd4Th4 | the Alexandria database | GGA-PBE | optimized geometry" n_ef_per_ev_cell=16.67 ef_mev_per_atom=223 vol_a3_per_atom=34.29 pbc="T T T"
Tb 0.000 0.000 0.000
Tb 1.761 0.000 8.431
Tb 0.000 5.223 1.821
Nd 1.761 1.957 -3.234
Nd 1.761 1.957 3.234
Nd 0.000 3.266 7.019
Nd 0.000 3.266 13.486
Th 0.000 0.000 5.533
Th 1.761 2.872 0.000
Th 0.000 2.350 10.253
Th 0.000 0.000 14.972

Record 6
13
Lattice="-6.510 6.510 2.542 6.510 -6.510 2.542 6.510 6.510 -2.542" Properties=species:S:1:pos:R:3 comment="Tb5Nd4Th4 | the Alexandria database | GGA-PBE | optimized geometry" n_ef_per_ev_cell=17.56 ef_mev_per_atom=38 vol_a3_per_atom=33.15 pbc="T T T"
Tb 0.000 0.000 0.000
Tb 7.001 3.961 0.000
Tb 3.961 6.019 0.000
Tb 2.549 0.491 2.542
Tb -0.491 2.549 2.542
Nd 9.984 1.980 0.000
Nd 1.980 3.036 0.000
Nd 4.530 3.474 2.542
Nd -3.474 4.530 2.542
Th 5.062 0.976 0.000
Th 5.534 -1.448 2.542
Th 0.976 7.958 0.000
Th 1.448 5.534 2.542

| no. | total energy (eV per atom) |
| --- | --- |
| 1 | -5.758 |
| 2 | -4.966 |
| 3 | -5.211 |
| 4 | -5.188 |
| 5 | -5.472 |
| 6 | -5.493 |